Material: RbCuPbBr4
Method: DFT, GGA-PBE
State: optimized geometry

Cell and atoms, written as POSCAR:
```
RbCuPbBr4
1.0
6.8459 0.0000 0.0000
0.0000 7.6885 0.0000
-3.1741 0.0000 8.9490
Rb Cu Pb Br
2 2 2 8
direct
0.2452 0.2500 0.4406 Rb
0.7548 0.7500 0.5594 Rb
0.3030 0.7500 0.1786 Cu
0.6970 0.2500 0.8214 Cu
0.2823 0.2500 0.9479 Pb
0.7177 0.7500 0.0521 Pb
0.0572 0.7500 0.9209 Br
0.0856 0.7500 0.3456 Br
0.4780 0.5097 0.7752 Br
0.4780 0.9903 0.7752 Br
0.5220 0.0097 0.2248 Br
0.5220 0.4903 0.2248 Br
0.9144 0.2500 0.6544 Br
0.9428 0.2500 0.0791 Br
```

Output
Calculated density: 4.8 g/cm3
Formation energy (no corrections): -0.962 eV per atom



Material: Rb2CuPbBr5
Method: DFT, GGA-PBE
State: optimized geometry

Cell and atoms, written as POSCAR:
```
Rb2CuPbBr5
1.0
2.2000 -10.0967 0.0000
2.2000 10.0967 0.0000
0.0000 0.0000 14.5069
Rb Cu Pb Br
4 2 2 10
direct
0.1175 0.8825 0.5000 Rb
0.1245 0.8755 0.1337 Rb
0.8755 0.1245 0.6337 Rb
0.8825 0.1175 0.0000 Rb
0.4648 0.5352 0.2421 Cu
0.5352 0.4648 0.7421 Cu
0.2005 0.7995 0.8207 Pb
0.7995 0.2005 0.3207 Pb
0.0423 0.9577 0.8177 Br
0.2974 0.7026 0.4679 Br
0.3023 0.6977 0.1722 Br
0.3469 0.6531 0.8178 Br
0.4991 0.5009 0.0845 Br
0.5009 0.4991 0.5845 Br
0.6531 0.3469 0.3178 Br
0.6977 0.3023 0.6722 Br
0.7026 0.2974 0.9679 Br
0.9577 0.0423 0.3177 Br
```

Output
Calculated density: 4.3 g/cm3
Formation energy (no corrections): -1.150 eV per atom



Material: RbCu2PbBr6
Method: DFT, GGA-PBE
State: optimized geometry

Cell and atoms, written as POSCAR:
```
RbCu2PbBr6
1.0
3.7242 2.1502 8.1759
-3.7242 2.1502 8.1759
0.0000 -4.3004 8.1759
Rb Cu Pb Br
1 2 1 6
direct
0.0000 0.0000 0.0000 Rb
0.2375 0.2375 0.2375 Cu
0.7625 0.7625 0.7625 Cu
0.5000 0.5000 0.5000 Pb
0.0839 0.4556 0.7366 Br
0.2634 0.9161 0.5444 Br
0.4556 0.7366 0.0839 Br
0.5444 0.2634 0.9161 Br
0.7366 0.0839 0.4556 Br
0.9161 0.5444 0.2634 Br
```

Output
Calculated density: 3.8 g/cm3
Formation energy (no corrections): -0.751 eV per atom



Material: Rb4Cu3PbBr12
Method: DFT, GGA-PBE
State: optimized geometry

Cell and atoms, written as POSCAR:
```
Rb4Cu3PbBr12
1.0
-5.3896 5.3896 5.3896
5.3896 -5.3896 5.3896
5.3896 5.3896 -5.3896
Rb Cu Pb Br
4 3 1 12
direct
0.0000 0.0000 0.5000 Rb
0.0000 0.5000 0.0000 Rb
0.5000 0.0000 0.0000 Rb
0.5000 0.5000 0.5000 Rb
0.0000 0.5000 0.5000 Cu
0.5000 0.0000 0.5000 Cu
0.5000 0.5000 0.0000 Cu
0.0000 0.0000 0.0000 Pb
0.0000 0.2696 0.2696 Br
0.0000 0.7304 0.7304 Br
0.2500 0.5000 0.7500 Br
0.2500 0.7500 0.5000 Br
0.2696 0.0000 0.2696 Br
0.2696 0.2696 0.0000 Br
0.5000 0.2500 0.7500 Br
0.5000 0.7500 0.2500 Br
0.7304 0.0000 0.7304 Br
0.7304 0.7304 0.0000 Br
0.7500 0.2500 0.5000 Br
0.7500 0.5000 0.2500 Br
```

Output
Calculated density: 4.5 g/cm3
Formation energy (no corrections): -0.930 eV per atom



Material: RbCu2PbBr
Method: DFT, GGA-PBE
State: optimized geometry

Cell and atoms, written as POSCAR:
```
RbCu2PbBr
1.0
5.0897 0.0000 0.0000
0.0000 5.0897 0.0000
0.0000 0.0000 6.3981
Rb Cu Pb Br
1 2 1 1
direct
0.0000 0.0000 0.0000 Rb
0.0000 0.5000 0.5000 Cu
0.5000 0.0000 0.5000 Cu
0.5000 0.5000 0.5000 Pb
0.5000 0.5000 0.0000 Br
```

Output
Calculated density: 5.0 g/cm3
Formation energy (no corrections): -0.078 eV per atom



Material: Rb3Cu2PbBr9
Method: DFT, GGA-PBE
State: optimized geometry

Cell and atoms, written as POSCAR:
```
Rb3Cu2PbBr9
1.0
7.6516 0.0000 0.0000
-3.8258 6.6265 0.0000
0.0000 0.0000 9.4825
Rb Cu Pb Br
3 2 1 9
direct
0.0000 0.0000 0.0000 Rb
0.3333 0.6667 0.6836 Rb
0.6667 0.3333 0.3164 Rb
0.3333 0.6667 0.1499 Cu
0.6667 0.3333 0.8501 Cu
0.0000 0.0000 0.5000 Pb
0.0000 0.5000 0.0000 Br
0.1761 0.3521 0.3164 Br
0.1761 0.8239 0.3164 Br
0.3521 0.1761 0.6836 Br
0.5000 0.0000 0.0000 Br
0.5000 0.5000 0.0000 Br
0.6479 0.8239 0.3164 Br
0.8239 0.1761 0.6836 Br
0.8239 0.6479 0.6836 Br
```

Output
Calculated density: 4.5 g/cm3
Formation energy (no corrections): -0.969 eV per atom



Material: RbCu2PbBr8
Method: DFT, GGA-PBE
State: optimized geometry

Cell and atoms, written as POSCAR:
```
RbCu2PbBr8
1.0
3.4369 1.9843 10.0866
-3.4369 1.9843 10.0866
0.0000 -3.9686 10.0866
Rb Cu Pb Br
1 2 1 8
direct
0.0000 0.0000 0.0000 Rb
0.2520 0.2520 0.2520 Cu
0.7480 0.7480 0.7480 Cu
0.5000 0.5000 0.5000 Pb
0.0983 0.4273 0.7803 Br
0.2197 0.5727 0.9017 Br
0.3300 0.3300 0.3300 Br
0.4273 0.7803 0.0983 Br
0.5727 0.9017 0.2197 Br
0.6700 0.6700 0.6700 Br
0.7803 0.0983 0.4273 Br
0.9017 0.2197 0.5727 Br
```

Output
Calculated density: 4.3 g/cm3
Formation energy (no corrections): -0.575 eV per atom



Material: CuPb2SBr
Method: DFT, GGA-PBE
State: optimized geometry

Cell and atoms, written as POSCAR:
```
CuPb2SBr
1.0
5.5361 0.0000 0.0000
0.0000 5.5361 0.0000
0.0000 0.0000 4.3732
Cu Pb S Br
1 2 1 1
direct
0.0000 0.0000 0.0000 Cu
0.0000 0.5000 0.0000 Pb
0.5000 0.0000 0.0000 Pb
0.0000 0.0000 0.5000 S
0.5000 0.5000 0.5000 Br
```

Output
Calculated density: 7.3 g/cm3
Formation energy (no corrections): -0.078 eV per atom